(1)
A relaxed HgMoPt2 crystal, computed with GGA-PBE.

Results
energy	-5.356	eV/atom
DOS at the Fermi energy	10.75	states/eV per cell
formation energy	0.4477	eV per atom
relative energy among the computed polymorphs	0.6369	eV/atom

Cell lengths 5.9010, 5.9010, 5.9010 Å; angles 103.09, 103.09, 123.17 degrees
Element x y z (fractional)
Hg1 0.0000 0.0000 0.0000
Hg2 0.7500 0.2500 0.5000
Mo1 0.2500 0.7500 0.5000
Mo2 0.5000 0.5000 0.0000
Pt1 0.1535 0.6250 0.0285
Pt2 0.3750 0.4035 0.5285
Pt3 0.5965 0.1250 0.9715
Pt4 0.8750 0.8465 0.4715

***

(2)
A relaxed HgMoPt crystal, computed with GGA-PBE.

Results
energy	-5.621	eV/atom
DOS at the Fermi energy	2.47	states/eV per cell
formation energy	0.1033	eV per atom
relative energy among the computed polymorphs	0.0000	eV/atom

Cell lengths 6.5525, 6.5525, 6.5525 Å; angles 154.48, 154.48, 36.40 degrees
Element x y z (fractional)
Hg1 0.0000 0.0000 0.0000
Mo1 0.3234 0.3234 0.0000
Pt1 0.6822 0.6822 0.0000

***

(3)
A relaxed HgMoPt2 crystal, computed with GGA-PBE.

Results
energy	-5.502	eV/atom
DOS at the Fermi energy	5.28	states/eV per cell
formation energy	0.3014	eV per atom
relative energy among the computed polymorphs	0.4906	eV/atom

Cell lengths 4.1406, 4.1406, 4.0174 Å; angles 90.00, 90.00, 90.00 degrees
Element x y z (fractional)
Hg1 0.0000 0.0000 0.0000
Mo1 0.5000 0.5000 0.0000
Pt1 0.0000 0.5000 0.5000
Pt2 0.5000 0.0000 0.5000